1.
The following is a DFT calculation (GGA-PBE) of Cs3TcRu after structural relaxation. Values from VASP.

```
&SYSTEM
  ibrav = 0, nat = 5, ntyp = 3
/
ATOMIC_SPECIES
Tc 98.00 Tc.upf
Cs 132.91 Cs.upf
Ru 101.07 Ru.upf
ATOMIC_POSITIONS angstrom
Tc 1.473 -0.696 4.893
Cs -1.741 0.364 2.388
Ru 0.000 0.000 0.000
Cs 2.185 1.492 1.366
Cs 1.029 -2.551 1.139
CELL_PARAMETERS angstrom
-3.482 0.728 4.775
2.059 -5.102 2.278
4.370 2.983 2.732
```

Properties
The calculation puts the density of states at the Fermi level at 7.8 states/eV/f.u. The calculation puts the formation enthalpy at 0 K at 170.1 kJ/mol of atoms. The volume is 211 Å³/cell. The symmetry is Pm-3m, No. 221. As for the polymorph energy (0 for the lowest one): 0 kJ/mol of formula units. Its raw total energy is -2.678 eV/atom.

***

2.
The following is a DFT calculation (GGA-PBE) of CsTcRu3 after structural relaxation. Values from VASP.

```
&SYSTEM
  ibrav = 0, nat = 5, ntyp = 3
/
ATOMIC_SPECIES
Ru 101.07 Ru.upf
Tc 98.00 Tc.upf
Cs 132.91 Cs.upf
ATOMIC_POSITIONS angstrom
Ru 0.000 0.000 2.390
Tc 2.390 2.390 2.390
Cs 0.000 0.000 0.000
Ru 2.390 0.000 0.000
Ru 0.000 2.390 0.000
CELL_PARAMETERS angstrom
4.780 0.000 0.000
0.000 4.780 0.000
0.000 0.000 4.780
```

Properties
The calculation puts the density of states at the Fermi level at 12.6 states/eV/f.u. The calculation puts the formation enthalpy at 0 K at 326.2 kJ/mol of atoms. The volume is 109 Å³/cell. The symmetry is Pm-3m, No. 221. As for the polymorph energy (0 for the lowest one): 841 kJ/mol of formula units. Its raw total energy is -4.429 eV/atom.

***

3.
The following is a DFT calculation (GGA-PBE) of CsTcRu2 after structural relaxation. Values from VASP.

```
&SYSTEM
  ibrav = 0, nat = 8, ntyp = 3
/
ATOMIC_SPECIES
Ru 101.07 Ru.upf
Cs 132.91 Cs.upf
Tc 98.00 Tc.upf
ATOMIC_POSITIONS angstrom
Ru 2.450 5.477 0.903
Ru 9.128 8.504 2.709
Cs 7.302 3.651 1.806
Ru 4.852 1.826 0.903
Tc 3.651 3.651 0.000
Ru 5.477 6.101 2.709
Tc 3.651 7.302 1.806
Cs 0.000 0.000 0.000
CELL_PARAMETERS angstrom
7.302 0.000 0.000
0.000 7.302 0.000
3.651 3.651 3.612
```

Properties
The calculation puts the density of states at the Fermi level at 2.9 states/eV/f.u. The calculation puts the formation enthalpy at 0 K at 143.4 kJ/mol of atoms. The volume is 193 Å³/cell. The symmetry is I-42d, No. 122. As for the polymorph energy (0 for the lowest one): 0 kJ/mol of formula units. Its raw total energy is -5.957 eV/atom.

***

4.
The following is a DFT calculation (GGA-PBE) of CsTcRu2 after structural relaxation. Values from VASP.

```
&SYSTEM
  ibrav = 0, nat = 4, ntyp = 3
/
ATOMIC_SPECIES
Cs 132.91 Cs.upf
Ru 101.07 Ru.upf
Tc 98.00 Tc.upf
ATOMIC_POSITIONS angstrom
Cs 3.312 3.312 3.312
Ru 4.968 4.968 4.968
Tc 0.000 0.000 0.000
Ru 1.656 1.656 1.656
CELL_PARAMETERS angstrom
0.000 3.312 3.312
3.312 0.000 3.312
3.312 3.312 0.000
```

Properties
The calculation puts the density of states at the Fermi level at 6.8 states/eV/f.u. The calculation puts the formation enthalpy at 0 K at 174.8 kJ/mol of atoms. The volume is 73 Å³/cell. The symmetry is Fm-3m, No. 225. As for the polymorph energy (0 for the lowest one): 126 kJ/mol of formula units. Its raw total energy is -5.631 eV/atom.

***

5.
The following is a DFT calculation (GGA-PBE) of Cs2TcRu after structural relaxation. Values from VASP.

```
&SYSTEM
  ibrav = 0, nat = 4, ntyp = 3
/
ATOMIC_SPECIES
Cs 132.91 Cs.upf
Ru 101.07 Ru.upf
Tc 98.00 Tc.upf
ATOMIC_POSITIONS angstrom
Cs 5.840 5.840 5.840
Ru 3.894 3.894 3.894
Tc 0.000 0.000 0.000
Cs 1.947 1.947 1.947
CELL_PARAMETERS angstrom
0.000 3.894 3.894
3.894 0.000 3.894
3.894 3.894 0.000
```

Properties
The calculation puts the density of states at the Fermi level at 6.6 states/eV/f.u. The calculation puts the formation enthalpy at 0 K at 219.8 kJ/mol of atoms. The volume is 118 Å³/cell. The symmetry is Fm-3m, No. 225. Its raw total energy is -3.059 eV/atom.

***

6.
The following is a DFT calculation (GGA-PBE) of CsTcRu3 after structural relaxation. Values from VASP.

```
&SYSTEM
  ibrav = 0, nat = 5, ntyp = 3
/
ATOMIC_SPECIES
Tc 98.00 Tc.upf
Ru 101.07 Ru.upf
Cs 132.91 Cs.upf
ATOMIC_POSITIONS angstrom
Tc 0.000 0.000 0.000
Ru -0.407 1.101 2.113
Ru -2.382 -0.237 -0.335
Cs -2.843 3.003 0.653
Ru -0.054 2.139 -1.125
CELL_PARAMETERS angstrom
-0.108 4.278 -2.249
-4.764 -0.474 -0.671
-0.814 2.202 4.226
```

Properties
The calculation puts the density of states at the Fermi level at 13.6 states/eV/f.u. The calculation puts the formation enthalpy at 0 K at 158.0 kJ/mol of atoms. The volume is 113 Å³/cell. The symmetry is Pm-3m, No. 221. As for the polymorph energy (0 for the lowest one): 0 kJ/mol of formula units. Its raw total energy is -6.172 eV/atom.